# PBE with a Hubbard U HoCrF5, optimized geometry
data_HoCrF5
_chemical_formula_sum 'Ho2 Cr2 F10'
_cell_length_a 5.760
_cell_length_b 5.760
_cell_length_c 7.337
_cell_angle_alpha 107.25
_cell_angle_beta 107.25
_cell_angle_gamma 78.32
_symmetry_space_group_name_H-M 'P 1'
_symmetry_Int_Tables_number 1
loop_
_symmetry_equiv_pos_as_xyz
'x,y,z'
loop_
_atom_site_label
_atom_site_fract_x
_atom_site_fract_y
_atom_site_fract_z
_atom_site_occupancy
Ho1 0.055 0.945 0.750 1
Ho2 0.945 0.055 0.250 1
Cr1 0.500 0.500 0.000 1
Cr2 0.500 0.500 0.500 1
F1 0.158 0.819 0.038 1
F2 0.181 0.842 0.462 1
F3 0.222 0.299 0.370 1
F4 0.299 0.222 0.870 1
F5 0.371 0.629 0.750 1
F6 0.629 0.371 0.250 1
F7 0.701 0.778 0.130 1
F8 0.778 0.701 0.630 1
F9 0.819 0.158 0.538 1
F10 0.842 0.181 0.962 1
# **Spin magnetization**: 8.00 μB/cell
# **Energy above the lowest structure with this stoichiometry**: 0.000 eV/atom
# **V**: 15.7 Å³/atom
# **Crystal system**: monoclinic
# **Symmetry**: No. 15
# **Calculated density**: 4.70 g/cm³



# PBE with a Hubbard U BaMg6NiO8, optimized geometry
data_BaMg6NiO8
_chemical_formula_sum 'Ba1 Mg6 Ni1 O8'
_cell_length_a 4.644
_cell_length_b 4.644
_cell_length_c 8.802
_cell_angle_alpha 90.00
_cell_angle_beta 90.00
_cell_angle_gamma 90.00
_symmetry_space_group_name_H-M 'P 1'
_symmetry_Int_Tables_number 1
loop_
_symmetry_equiv_pos_as_xyz
'x,y,z'
loop_
_atom_site_label
_atom_site_fract_x
_atom_site_fract_y
_atom_site_fract_z
_atom_site_occupancy
Ba1 0.000 0.000 0.000 1
Mg1 0.000 0.000 0.500 1
Mg2 0.000 0.500 0.264 1
Mg3 0.000 0.500 0.736 1
Mg4 0.500 0.000 0.264 1
Mg5 0.500 0.000 0.736 1
Mg6 0.500 0.500 0.500 1
Ni1 0.500 0.500 0.000 1
O1 0.000 0.000 0.283 1
O2 0.000 0.000 0.717 1
O3 0.000 0.500 0.000 1
O4 0.000 0.500 0.500 1
O5 0.500 0.000 0.000 1
O6 0.500 0.000 0.500 1
O7 0.500 0.500 0.252 1
O8 0.500 0.500 0.748 1
# **Spin magnetization**: 2.03 μB/cell
# **Energy above the lowest structure with this stoichiometry**: 0.006 eV/atom
# **V**: 11.9 Å³/atom
# **Crystal system**: tetragonal
# **Symmetry**: No. 123
# **Calculated density**: 4.11 g/cm³